1.
This record from Alexandria via LeMat-Bulk describes a relaxed structure of LiSm6Tl2. The functional is GGA-PBE.

The structure in extended XYZ format:
```
9
Lattice="-2.581 3.809 7.759 2.581 -3.809 7.759 2.581 3.809 -7.759" Properties=species:S:1:pos:R:3 pbc="T T T"
Li 0.000 0.000 0.000
Sm 2.581 -1.926 5.214
Sm 2.581 1.869 0.000
Sm 0.000 1.883 2.545
Sm 2.581 1.926 5.214
Sm 0.000 1.940 7.759
Sm 0.000 5.735 2.545
Tl 0.000 0.000 5.188
Tl 0.000 0.000 10.330
```

Values from the calculation:
Total magnetic moment: 0.21 μB/atom
Energy: -3.751 eV/atom
Density of states at the Fermi level: 1.600 states/eV/atom
Formation energy: 0.134 eV per atom
Volume: 305.14 Å³/cell

***

2.
This record from Alexandria via LeMat-Bulk describes a relaxed structure of LiSm2Tl2. The functional is GGA-PBE.

The structure in extended XYZ format:
```
5
Lattice="-1.950 3.468 5.014 1.950 -3.468 5.014 1.950 3.468 -5.014" Properties=species:S:1:pos:R:3 pbc="T T T"
Li 0.000 0.000 0.000
Sm 1.950 0.000 2.792
Sm 0.000 3.468 2.222
Tl 1.950 1.884 0.000
Tl 0.000 1.584 5.014
```

Values from the calculation:
Total magnetic moment: 0.00 μB/atom
Energy relative to the lowest polymorph listed for this composition: 0.000 eV/atom
Energy: -3.485 eV/atom
Density of states at the Fermi level: 0.774 states/eV/atom
Formation energy: -0.268 eV per atom
Volume: 135.65 Å³/cell

***

3.
This record from Alexandria via LeMat-Bulk describes a relaxed structure of Li2SmTl. The functional is GGA-PBE.

The structure in extended XYZ format:
```
4
Lattice="4.644 0.000 0.000 0.000 4.644 0.000 0.000 0.000 4.525" Properties=species:S:1:pos:R:3 pbc="T T T"
Li 0.000 2.322 0.000
Li 2.322 0.000 0.000
Sm 0.000 0.000 2.262
Tl 2.322 2.322 2.262
```

Values from the calculation:
Total magnetic moment: 0.08 μB/atom
Energy relative to the lowest polymorph listed for this composition: 0.164 eV/atom
Energy: -2.811 eV/atom
Density of states at the Fermi level: 1.044 states/eV/atom
Formation energy: -0.083 eV per atom
Volume: 97.61 Å³/cell

***

4.
This record from Alexandria via LeMat-Bulk describes a relaxed structure of Li4Sm3Tl2. The functional is GGA-PBE.

The structure in extended XYZ format:
```
9
Lattice="5.025 0.000 0.000 -2.513 4.352 0.000 0.000 0.000 9.335" Properties=species:S:1:pos:R:3 pbc="T T T"
Li 0.000 0.000 1.562
Li 0.000 0.000 7.773
Li 0.000 2.901 3.848
Li 2.513 1.451 5.487
Sm 0.000 0.000 4.667
Sm 0.000 2.901 0.919
Sm 2.513 1.451 8.415
Tl 0.000 2.901 6.695
Tl 2.513 1.451 2.640
```

Values from the calculation:
Total magnetic moment: 0.00 μB/atom
Energy: -3.102 eV/atom
Density of states at the Fermi level: 0.536 states/eV/atom
Formation energy: -0.152 eV per atom
Volume: 204.14 Å³/cell

***

5.
This record from Alexandria via LeMat-Bulk describes a relaxed structure of LiSm4Tl3. The functional is GGA-PBE.

The structure in extended XYZ format:
```
8
Lattice="3.823 0.000 0.000 0.000 4.931 0.000 0.000 0.000 12.331" Properties=species:S:1:pos:R:3 pbc="T T T"
Li 0.000 0.000 0.000
Sm 0.000 0.000 3.391
Sm 0.000 2.466 7.279
Sm 1.911 0.000 9.634
Sm 1.911 2.466 1.095
Tl 0.000 2.466 10.666
Tl 1.911 0.000 6.385
Tl 1.911 2.466 4.344
```

Values from the calculation:
Total magnetic moment: 0.01 μB/atom
Energy relative to the lowest polymorph listed for this composition: 0.071 eV/atom
Energy: -3.713 eV/atom
Density of states at the Fermi level: 1.083 states/eV/atom
Formation energy: -0.227 eV per atom
Volume: 232.47 Å³/cell

***

6.
This record from Alexandria via LeMat-Bulk describes a relaxed structure of LiSm2Tl3. The functional is GGA-PBE.

The structure in extended XYZ format:
```
12
Lattice="5.305 0.000 0.000 -2.652 4.594 0.000 0.000 0.000 13.223" Properties=species:S:1:pos:R:3 pbc="T T T"
Li 0.000 3.063 2.102
Li 2.652 1.531 11.121
Sm 0.000 0.000 0.000
Sm 0.000 0.000 6.612
Sm 0.000 3.063 8.979
Sm 2.652 1.531 4.244
Tl 0.000 0.000 3.215
Tl 0.000 0.000 10.008
Tl 0.000 3.063 5.428
Tl 0.000 3.063 12.174
Tl 2.652 1.531 1.049
Tl 2.652 1.531 7.795
```

Values from the calculation:
Total magnetic moment: 0.00 μB/atom
Energy relative to the lowest polymorph listed for this composition: 0.000 eV/atom
Energy: -3.412 eV/atom
Density of states at the Fermi level: 0.466 states/eV/atom
Formation energy: -0.337 eV per atom
Volume: 322.25 Å³/cell

***

7.
This record from Alexandria via LeMat-Bulk describes a relaxed structure of LiSm3Tl2. The functional is GGA-PBE.

The structure in extended XYZ format:
```
12
Lattice="5.416 0.000 0.000 -2.708 4.691 0.000 0.000 0.000 13.315" Properties=species:S:1:pos:R:3 pbc="T T T"
Li 0.000 3.127 2.277
Li 2.708 1.564 11.038
Sm 0.000 0.000 3.333
Sm 0.000 0.000 9.982
Sm 0.000 3.127 5.559
Sm 0.000 3.127 12.251
Sm 2.708 1.564 1.064
Sm 2.708 1.564 7.756
Tl 0.000 0.000 0.000
Tl 0.000 0.000 6.658
Tl 0.000 3.127 9.057
Tl 2.708 1.564 4.258
```

Values from the calculation:
Total magnetic moment: 0.00 μB/atom
Energy relative to the lowest polymorph listed for this composition: 0.000 eV/atom
Energy: -3.730 eV/atom
Density of states at the Fermi level: 1.111 states/eV/atom
Formation energy: -0.263 eV per atom
Volume: 338.26 Å³/cell

***

8.
This record from Alexandria via LeMat-Bulk describes a relaxed structure of LiSmTl2. The functional is GGA-PBE.

The structure in extended XYZ format:
```
4
Lattice="0.000 3.710 3.710 3.710 0.000 3.710 3.710 3.710 0.000" Properties=species:S:1:pos:R:3 pbc="T T T"
Li 0.000 0.000 0.000
Sm 3.710 3.710 3.710
Tl 1.855 1.855 1.855
Tl 5.564 5.564 5.564
```

Values from the calculation:
Total magnetic moment: 0.00 μB/atom
Energy relative to the lowest polymorph listed for this composition: 0.000 eV/atom
Energy: -3.172 eV/atom
Density of states at the Fermi level: 0.332 states/eV/atom
Formation energy: -0.331 eV per atom
Volume: 102.10 Å³/cell

***

9.
This record from Alexandria via LeMat-Bulk describes a relaxed structure of LiSm3Tl. The functional is GGA-PBE.

The structure in extended XYZ format:
```
10
Lattice="2.472 -8.950 0.000 2.472 8.950 0.000 0.000 0.000 6.786" Properties=species:S:1:pos:R:3 pbc="T T T"
Li 2.472 8.882 5.090
Li 2.472 -8.882 1.697
Sm 2.472 5.099 5.090
Sm 2.472 1.784 3.417
Sm 2.472 1.784 6.762
Sm 2.472 -1.784 0.024
Sm 2.472 -1.784 3.369
Sm 2.472 -5.099 1.697
Tl 2.472 5.827 1.697
Tl 2.472 -5.827 5.090
```

Values from the calculation:
Total magnetic moment: 0.00 μB/atom
Energy: -3.757 eV/atom
Density of states at the Fermi level: 1.153 states/eV/atom
Formation energy: -0.069 eV per atom
Volume: 300.32 Å³/cell

***

10.
This record from Alexandria via LeMat-Bulk describes a relaxed structure of LiSm4Tl3. The functional is GGA-PBE.

The structure in extended XYZ format:
```
8
Lattice="2.712 1.566 8.943 -2.712 1.566 8.943 0.000 -3.131 8.943" Properties=species:S:1:pos:R:3 pbc="T T T"
Li 0.000 0.000 0.000
Sm 0.000 0.000 3.373
Sm 0.000 0.000 10.134
Sm 0.000 0.000 16.695
Sm 0.000 0.000 23.455
Tl 0.000 0.000 6.932
Tl 0.000 0.000 13.414
Tl 0.000 0.000 19.897
```

Values from the calculation:
Total magnetic moment: 0.00 μB/atom
Energy relative to the lowest polymorph listed for this composition: 0.000 eV/atom
Energy: -3.785 eV/atom
Density of states at the Fermi level: 1.127 states/eV/atom
Formation energy: -0.299 eV per atom
Volume: 227.83 Å³/cell

***

11.
This record from Alexandria via LeMat-Bulk describes a relaxed structure of LiSmTl2. The functional is GGA-PBE.

The structure in extended XYZ format:
```
4
Lattice="3.631 0.000 0.000 0.000 3.631 0.000 0.000 0.000 7.500" Properties=species:S:1:pos:R:3 pbc="T T T"
Li 0.000 0.000 0.000
Sm 0.000 0.000 3.750
Tl 1.815 1.815 1.598
Tl 1.815 1.815 5.902
```

Values from the calculation:
Total magnetic moment: 0.00 μB/atom
Energy relative to the lowest polymorph listed for this composition: 0.023 eV/atom
Energy: -3.149 eV/atom
Density of states at the Fermi level: 0.660 states/eV/atom
Formation energy: -0.307 eV per atom
Volume: 98.86 Å³/cell

***

12.
This record from Alexandria via LeMat-Bulk describes a relaxed structure of Li2SmTl2. The functional is GGA-PBE.

The structure in extended XYZ format:
```
5
Lattice="4.654 -2.537 0.000 4.654 2.537 0.000 -1.960 0.000 4.857" Properties=species:S:1:pos:R:3 pbc="T T T"
Li 0.603 0.000 1.126
Li 6.744 0.000 3.731
Sm 3.673 0.000 2.428
Tl 0.674 0.000 3.919
Tl 6.673 0.000 0.938
```

Values from the calculation:
Total magnetic moment: 0.00 μB/atom
Energy relative to the lowest polymorph listed for this composition: 0.021 eV/atom
Energy: -2.890 eV/atom
Density of states at the Fermi level: 0.440 states/eV/atom
Formation energy: -0.234 eV per atom
Volume: 114.69 Å³/cell